## Zr5C (PBE-GGA)

Data for a relaxed Zr5C crystal.

abc: 10.6512 3.1869 7.3976
angles: 90.00 102.97 90.00
Closest atoms and distances in Å follow each position.
Space group Cm (No. 8)
Symmetry-distinct sites (fractional):
Zr1 0.0000 0.0000 0.0000 x2  2 C 2.30
Zr2 0.0890 0.0000 0.4180 x2  11 Zr 3.02-3.31
Zr3 0.2006 0.5000 0.7897 x2  2 C 2.31
Zr4 0.2944 0.5000 0.2195 x2  2 C 2.69, 1 Zr 3.00
Zr5 0.3963 0.0000 0.6227 x2  1 C 2.60
C1 0.3396 0.0000 0.9474 x2  4 Zr 2.30-2.31

## Properties
Raw total energy in Ry per atom: -0.64100
DOS at the Fermi energy in states/eV per cell: 13.56
Energy of formation from the pure elements in meV per atom: -60.5
Total magnetic moment in μB per formula unit: 0.00